Record 1
First-principles (PBE-GGA) data for a geometry-optimized NpFeH2 structure, as listed in the Alexandria database.

Cell: 2.880 2.880 6.322 Å, 76.83 76.83 60.00°
Each line ends with the local moment (μB).
Fractional positions:
Fe: 0.000 0.000 0.000  2.72
H: 0.089 0.089 0.732  -0.02
H: 0.911 0.911 0.268  -0.02
Np: 0.500 0.500 0.500  2.96

final energy = -6.773 eV per atom

=====

Record 2
First-principles (PBE-GGA) data for a geometry-optimized NpFe3H structure, as listed in the Alexandria database.

Cell: 3.815 3.815 3.815 Å, 90.00 90.00 90.00°
Each line ends with the local moment (μB).
Fractional positions:
Fe: 0.000 0.500 0.000  1.63
Fe: 0.500 0.000 0.000  1.63
Fe: 0.000 0.000 0.500  1.63
Np: 0.500 0.500 0.500  -3.10
H: 0.000 0.000 0.000  -0.02

final energy = -8.354 eV per atom

=====

Record 3
First-principles (PBE-GGA) data for a geometry-optimized NpFeH6 structure, as listed in the Alexandria database.

Cell: 4.291 4.292 4.311 Å, 60.03 60.02 88.88°
Each line ends with the local moment (μB).
Fractional positions:
H: 0.170 0.831 0.278  -0.01
H: 0.831 0.171 0.277  -0.01
H: 0.647 0.648 0.353  -0.01
H: 0.169 0.829 0.723  -0.01
H: 0.353 0.352 0.647  -0.01
H: 0.830 0.169 0.722  -0.01
Fe: 0.000 0.000 0.000  -0.48
Np: 0.500 0.500 0.000  3.44

final energy = -5.299 eV per atom